Entry 1:
! YAsIrCl2 (GGA-PBE, relaxed); values from VASP
&SYSTEM
  ibrav = 0, nat = 5, ntyp = 4
/
ATOMIC_SPECIES
Y 88.91 Y.upf
As 74.92 As.upf
Ir 192.22 Ir.upf
Cl 35.45 Cl.upf
CELL_PARAMETERS angstrom
4.681 0.000 0.000
0.000 4.681 0.000
0.000 0.000 6.110
ATOMIC_POSITIONS crystal
Y 0.000 0.000 0.000
As 0.000 0.000 0.500
Ir 0.500 0.500 0.000
Cl 0.000 0.500 0.500
Cl 0.500 0.000 0.500
! Uncorrected formation energy: 390 meV/atom
! Size of the total moment: 1.00 μB per cell


Entry 2:
! K2As2Cl7 (GGA-PBE, relaxed); values from VASP
&SYSTEM
  ibrav = 0, nat = 11, ntyp = 3
/
ATOMIC_SPECIES
K 39.10 K.upf
As 74.92 As.upf
Cl 35.45 Cl.upf
CELL_PARAMETERS angstrom
4.789 -7.983 0.000
4.789 7.983 0.000
-1.251 0.000 4.581
ATOMIC_POSITIONS crystal
K 0.206 0.794 0.000
K 0.794 0.206 0.000
As 0.281 0.281 0.713
As 0.719 0.719 0.287
Cl 0.104 0.415 0.727
Cl 0.132 0.132 0.268
Cl 0.415 0.104 0.727
Cl 0.500 0.500 0.500
Cl 0.585 0.896 0.273
Cl 0.868 0.868 0.732
Cl 0.896 0.585 0.273
! Uncorrected formation energy: -1033 meV/atom
! Size of the total moment: 0.00 μB per cell


Entry 3:
! KAsCl3 (GGA-PBE, relaxed); values from VASP
&SYSTEM
  ibrav = 0, nat = 20, ntyp = 3
/
ATOMIC_SPECIES
K 39.10 K.upf
As 74.92 As.upf
Cl 35.45 Cl.upf
CELL_PARAMETERS angstrom
9.866 0.000 0.000
0.000 8.240 0.000
-4.267 0.000 8.417
ATOMIC_POSITIONS crystal
K 0.087 0.237 0.039
K 0.087 0.263 0.539
K 0.913 0.737 0.461
K 0.913 0.763 0.961
As 0.315 0.642 0.886
As 0.315 0.858 0.386
As 0.685 0.142 0.614
As 0.685 0.358 0.114
Cl 0.018 0.517 0.777
Cl 0.018 0.983 0.277
Cl 0.289 0.603 0.639
Cl 0.289 0.897 0.139
Cl 0.433 0.192 0.500
Cl 0.433 0.308 0.000
Cl 0.567 0.692 0.000
Cl 0.567 0.808 0.500
Cl 0.711 0.103 0.861
Cl 0.711 0.397 0.361
Cl 0.982 0.017 0.723
Cl 0.982 0.483 0.223
! Uncorrected formation energy: -988 meV/atom
! Size of the total moment: 0.00 μB per cell
! Offset from the most stable computed form: 0.1281 eV/atom


Entry 4:
! K4AsCl6 (GGA-PBE, relaxed); values from VASP
&SYSTEM
  ibrav = 0, nat = 22, ntyp = 3
/
ATOMIC_SPECIES
K 39.10 K.upf
As 74.92 As.upf
Cl 35.45 Cl.upf
CELL_PARAMETERS angstrom
8.708 0.000 0.000
0.000 8.708 0.000
0.000 0.000 8.679
ATOMIC_POSITIONS crystal
K 0.165 0.335 0.250
K 0.165 0.335 0.750
K 0.335 0.835 0.250
K 0.335 0.835 0.750
K 0.665 0.165 0.250
K 0.665 0.165 0.750
K 0.835 0.665 0.250
K 0.835 0.665 0.750
As 0.000 0.000 0.000
As 0.500 0.500 0.500
Cl 0.000 0.000 0.286
Cl 0.000 0.000 0.714
Cl 0.110 0.683 0.000
Cl 0.183 0.610 0.500
Cl 0.317 0.110 0.000
Cl 0.390 0.183 0.500
Cl 0.500 0.500 0.214
Cl 0.500 0.500 0.786
Cl 0.610 0.817 0.500
Cl 0.683 0.890 0.000
Cl 0.817 0.390 0.500
Cl 0.890 0.317 0.000
! Uncorrected formation energy: -1434 meV/atom
! Size of the total moment: 2.00 μB per cell